This record from the Alexandria database describes a relaxed AcTbPd2 crystal. The functional is PBE.

```
data_AcTbPd2
_space_group_name_H-M_alt 'F m -3 m'
_space_group_IT_number 225
_space_group_name_Hall '-F 4 2 3'
_cell_length_a 7.3537
_cell_length_b 7.3537
_cell_length_c 7.3537
_cell_angle_alpha 90.00
_cell_angle_beta 90.00
_cell_angle_gamma 90.00
loop_
_atom_site_label
_atom_site_type_symbol
_atom_site_fract_x
_atom_site_fract_y
_atom_site_fract_z
Ac1 Ac 0.0000 0.0000 0.0000
Tb1 Tb 0.0000 0.0000 0.5000
Pd1 Pd 0.2500 0.2500 0.2500
```

Properties
DFT total energy, eV per atom: -5.51
ΔH_f (0 K), eV per atom: -0.7261
Crystal system: cubic
DOS(E_F), states/eV/cell: 12.69
Total magnetization, μB per formula unit: 0.000


This record from the Alexandria database describes a relaxed Ac2Tb3Pd2 crystal. The functional is PBE.

```
data_Ac2Tb3Pd2
_space_group_name_H-M_alt 'C 1 2/m 1'
_space_group_IT_number 12
_cell_length_a 12.8227
_cell_length_b 3.9062
_cell_length_c 9.4084
_cell_angle_alpha 90.00
_cell_angle_beta 116.82
_cell_angle_gamma 90.00
loop_
_space_group_symop_operation_xyz
'x,y,z'
'-x,-y,-z'
'-x,y,-z'
'x,-y,z'
'x+1/2,y+1/2,z'
'-x+1/2,-y+1/2,-z'
'-x+1/2,y+1/2,-z'
'x+1/2,-y+1/2,z'
loop_
_atom_site_label
_atom_site_type_symbol
_atom_site_fract_x
_atom_site_fract_y
_atom_site_fract_z
Ac1 Ac 0.1549 0.0000 0.3044
Tb1 Tb 0.0000 0.5000 0.5000
Tb2 Tb 0.1185 0.5000 0.9367
Pd1 Pd 0.1585 0.0000 0.7391
```

Properties
DFT total energy, eV per atom: -5.14
ΔH_f (0 K), eV per atom: -0.4953
Crystal system: monoclinic
DOS(E_F), states/eV/cell: 16.02
Total magnetization, μB per formula unit: 0.000